## P
VASP calculation (PBE-GGA) on an optimized crystal structure of CaVSe2N.

a b c (Å): 5.079 5.079 3.689
angles (deg): 90.00 90.00 90.00
Atoms (fractional coordinates):
Ca 0.500 0.500 0.500
N 0.000 0.000 0.500
Se 0.000 0.500 0.000
Se 0.500 0.000 0.000
V 0.000 0.000 0.000

Output
Total moment in Bohr magnetons per cell: 0.0

## Q
VASP calculation (PBE-GGA) on an optimized crystal structure of CaVSe2N.

a b c (Å): 5.350 5.350 4.105
angles (deg): 90.00 90.00 90.00
Atoms (fractional coordinates):
Ca 0.000 0.000 0.000
N 0.000 0.000 0.500
Se 0.000 0.500 0.000
Se 0.500 0.000 0.000
V 0.500 0.500 0.500

Output
Total moment in Bohr magnetons per cell: 0.0

Need the numbers? Relative energies in meV per atom: P 0; Q 1878.

## P
VASP calculation (PBE-GGA) on an optimized crystal structure of CaWSe2N.

a b c (Å): 5.223 5.223 3.906
angles (deg): 90.00 90.00 90.00
Atoms (fractional coordinates):
Ca 0.000 0.000 0.000
Se 0.000 0.500 0.000
Se 0.500 0.000 0.000
W 0.500 0.500 0.500
N 0.000 0.000 0.500

Output
Total moment in Bohr magnetons per cell: 0.0

## Q
VASP calculation (PBE-GGA) on an optimized crystal structure of CaWSe2N.

a b c (Å): 5.137 5.137 3.863
angles (deg): 90.00 90.00 90.00
Atoms (fractional coordinates):
Ca 0.500 0.500 0.500
Se 0.000 0.500 0.000
Se 0.500 0.000 0.000
W 0.000 0.000 0.000
N 0.000 0.000 0.500

Output
Total moment in Bohr magnetons per cell: 0.0

Need the numbers? Relative energies in meV per atom: P 2272; Q 0.

## P
VASP calculation (PBE-GGA) on an optimized crystal structure of CaZrSe2N.

a b c (Å): 5.357 5.357 4.112
angles (deg): 90.00 90.00 90.00
Atoms (fractional coordinates):
Ca 0.500 0.500 0.500
Se 0.000 0.500 0.000
Se 0.500 0.000 0.000
Zr 0.000 0.000 0.000
N 0.000 0.000 0.500

Output
Total moment in Bohr magnetons per cell: 0.7

## Q
VASP calculation (PBE-GGA) on an optimized crystal structure of CaZrSe2N.

a b c (Å): 5.269 5.269 4.030
angles (deg): 90.00 90.00 90.00
Atoms (fractional coordinates):
Ca 0.000 0.000 0.000
Se 0.000 0.500 0.000
Se 0.500 0.000 0.000
Zr 0.500 0.500 0.500
N 0.000 0.000 0.500

Output
Total moment in Bohr magnetons per cell: 0.0

Need the numbers? Relative energies in meV per atom: P 0; Q 1343.